# KPrHgSe3

A geometry-optimized KPrHgSe3 structure (PBE, the Open Quantum Materials Database).

Results
The calculation puts the total energy at -3.90 eV/atom. The space group is C2/m.

Cell lengths 9.6795, 9.6795, 9.2955 Å; angles 103.49, 103.49, 26.02 degrees
Closest atoms and distances in Å follow each position.
Positions (direct):
K1 0.8622 0.8622 0.9300  7 Se 3.33-3.53
K2 0.1378 0.1378 0.0700  7 Se 3.33-3.53
Se1 0.6677 0.6677 0.3642  3 Pr 2.94-2.98
Se2 0.0000 0.0000 0.5000  4 Hg 2.97, 2 Pr 3.15
Se3 0.3323 0.3323 0.6358  3 Pr 2.94-2.98
Se4 0.6701 0.6701 0.8037  1 Hg 2.76, 2 Pr 2.98
Se5 0.3299 0.3299 0.1963  1 Hg 2.76, 2 Pr 2.98
Se6 0.5000 0.5000 0.0000  2 Hg 2.69
Hg1 0.4804 0.4804 0.2769  4 Se 2.69-2.97
Hg2 0.5196 0.5196 0.7231  4 Se 2.69-2.97
Pr1 0.1722 0.1722 0.5855  6 Se 2.94-3.15
Pr2 0.8278 0.8278 0.4145  6 Se 2.94-3.15